1 | The following is a PBE-GGA calculation of a geometry-optimized CoHgS2N structure, from the Alexandria database.

abc: 4.842 4.842 3.398
angles: 90.00 90.00 90.00
Space group P4/mmm (No. 123)
Unique sites:
Co 0.000 0.000 0.000
Hg 0.500 0.500 0.500
S 0.000 0.500 0.000
N 0.000 0.000 0.500

Total moment: 0.00 Bohr magnetons per cell
Fermi-level density of states: 0.61 states/eV per atom


2 | The following is a PBE-GGA calculation of a geometry-optimized CoHgS2N structure, from the Alexandria database.

abc: 5.087 5.087 3.986
angles: 90.00 90.00 90.00
Space group P4/mmm (No. 123)
Unique sites:
Co 0.000 0.000 0.000
Hg 0.500 0.500 0.500
S 0.000 0.500 0.500
N 0.500 0.500 0.000

Total moment: 2.88 Bohr magnetons per cell
Fermi-level density of states: 1.77 states/eV per atom


Which of them is the most stable, and which is the least stable? 1 and 2, in that order.


1 | The following is a PBE-GGA calculation of a geometry-optimized NaCoHg2 structure, from the Alexandria database.

abc: 6.751 6.751 6.751
angles: 90.00 90.00 90.00
Space group Fm-3m (No. 225)
Unique sites:
Na 0.000 0.000 0.000
Co 0.000 0.000 0.500
Hg 0.250 0.250 0.250

Total moment: 5.41 Bohr magnetons per cell
Fermi-level density of states: 1.67 states/eV per atom


2 | The following is a PBE-GGA calculation of a geometry-optimized NaCoHg2 structure, from the Alexandria database.

abc: 4.934 4.934 17.459
angles: 90.00 90.00 90.00
Space group I-42d (No. 122)
Unique sites:
Na 0.000 0.000 0.000
Co 0.000 0.000 0.500
Hg 0.165 0.250 0.625

Total moment: 5.80 Bohr magnetons per cell
Fermi-level density of states: 1.69 states/eV per atom


Which of them is the most stable, and which is the least stable? 1 and 2, in that order.


1 | The following is a PBE-GGA calculation of a geometry-optimized NbCo3Hg structure, from the Alexandria database.

abc: 4.649 4.649 4.649
angles: 90.00 90.00 90.00
Space group Pm-3m (No. 221)
Unique sites:
Nb 0.000 0.000 0.000
Co 0.000 0.500 0.500
Hg 0.500 0.500 0.500

Total moment: 3.14 Bohr magnetons per cell
Fermi-level density of states: 1.21 states/eV per atom


2 | The following is a PBE-GGA calculation of a geometry-optimized NbCo3Hg structure, from the Alexandria database.

abc: 4.477 4.477 4.477
angles: 90.00 90.00 90.00
Space group Pm-3m (No. 221)
Unique sites:
Nb 0.000 0.000 0.000
Co 0.000 0.000 0.500
Hg 0.500 0.500 0.500

Total moment: 0.00 Bohr magnetons per cell
Fermi-level density of states: 0.54 states/eV per atom


Which of them is the most stable, and which is the least stable? 2 and 1, in that order.


1 | The following is a PBE-GGA calculation of a geometry-optimized Nd2CoHg structure, from the Alexandria database.

abc: 7.364 7.364 7.364
angles: 90.00 90.00 90.00
Space group Fm-3m (No. 225)
Unique sites:
Nd 0.250 0.250 0.250
Co 0.000 0.000 0.000
Hg 0.000 0.000 0.500

Total moment: 2.38 Bohr magnetons per cell
Fermi-level density of states: 0.87 states/eV per atom


2 | The following is a PBE-GGA calculation of a geometry-optimized Nd2CoHg structure, from the Alexandria database.

abc: 3.558 3.558 7.790
angles: 90.00 90.00 90.00
Space group P4/mmm (No. 123)
Unique sites:
Nd 0.000 0.000 0.218
Co 0.500 0.500 0.000
Hg 0.500 0.500 0.500

Total moment: 0.70 Bohr magnetons per cell
Fermi-level density of states: 0.80 states/eV per atom


3 | The following is a PBE-GGA calculation of a geometry-optimized Nd2CoHg structure, from the Alexandria database.

abc: 4.0145 4.0145 23.4521
angles: 90.00 90.00 120.00
Space group R3m (No. 160, hexagonal axes)
Unique sites:
Nd 0.0000 0.0000 0.0000
Nd 0.0000 0.0000 0.2045
Co 0.0000 0.0000 0.6036
Hg 0.0000 0.0000 0.7688

Total moment: 0.00 Bohr magnetons per cell
Fermi-level density of states: 0.70 states/eV per atom


Which of them is the most stable, and which is the least stable? 2 and 1, in that order.